Entry 1:
5
Lattice="6.890 0.000 0.000 0.000 6.890 0.000 0.000 0.000 6.890" Properties=species:S:1:pos:R:3 comment="PBE Rb3LiSc, relaxed" sg="Pm-3m, No. 221" dos_at_fermi_per_ev_fu=15.627 delta_e_f_kcal_per_mol_atoms=17.6 density_g_cm3=1.565 relative_energy_mev_per_atom=0 pbc="T T T"
Rb 0.000 3.445 0.000
Rb 3.445 0.000 0.000
Rb 0.000 0.000 3.445
Sc 3.445 3.445 3.445
Li 0.000 0.000 0.000

=====

Entry 2:
5
Lattice="5.372 0.000 0.000 0.000 4.265 0.000 0.000 0.000 5.372" Properties=species:S:1:pos:R:3 comment="PBE Ca2HgBMo, relaxed" sg="P4/mmm, No. 123" dos_at_fermi_per_ev_fu=2.618 delta_e_f_kcal_per_mol_atoms=18.7 density_g_cm3=5.228 pbc="T T T"
Ca 2.686 0.000 0.000
Ca 0.000 0.000 2.686
Mo 2.686 2.133 2.686
Hg 0.000 2.133 0.000
B 0.000 0.000 0.000

=====

Entry 3:
32
Lattice="5.687 0.000 0.000 0.000 8.113 0.000 0.000 0.000 14.895" Properties=species:S:1:pos:R:3 comment="PBE Y3Al3Pt2, relaxed" sg="Pnma, No. 62" dos_at_fermi_per_ev_fu=7.099 delta_e_f_kcal_per_mol_atoms=-21.5 density_g_cm3=7.130 pbc="T T T"
Pt 3.561 4.879 5.872
Pt 4.970 0.822 1.575
Pt 0.717 7.291 13.320
Pt 0.717 7.291 9.023
Pt 4.970 0.822 5.872
Pt 2.127 3.234 9.023
Pt 3.561 4.879 1.575
Pt 2.127 3.234 13.320
Y 4.959 6.621 3.724
Y 0.728 1.493 11.171
Y 2.184 7.797 5.787
Y 0.660 3.740 5.787
Y 5.027 4.374 9.108
Y 2.115 5.550 11.171
Y 2.184 7.797 1.661
Y 3.504 0.317 9.108
Y 5.027 4.374 13.234
Y 3.572 2.564 3.724
Y 3.504 0.317 13.234
Y 0.660 3.740 1.661
Al 5.027 6.776 11.171
Al 3.504 2.719 11.171
Al 0.635 1.483 7.971
Al 2.208 5.540 14.372
Al 3.479 2.574 0.524
Al 2.183 5.395 3.724
Al 2.208 5.540 7.971
Al 0.635 1.483 14.372
Al 0.661 1.338 3.724
Al 5.052 6.631 0.524
Al 5.052 6.631 6.924
Al 3.479 2.574 6.924

=====

Entry 4:
5
Lattice="6.395 0.000 0.000 0.000 5.136 0.000 0.000 0.000 6.395" Properties=species:S:1:pos:R:3 comment="PBE BaSr2CrGa, relaxed" sg="P4/mmm, No. 123" dos_at_fermi_per_ev_fu=4.867 delta_e_f_kcal_per_mol_atoms=28.4 density_g_cm3=3.433 pbc="T T T"
Sr 0.000 0.000 3.197
Sr 3.197 0.000 0.000
Cr 0.000 2.568 0.000
Ga 3.197 2.568 3.197
Ba 0.000 0.000 0.000